Compound: Pm3Np2Se8
Source: Alexandria via LeMat-Bulk
Functional: PBE
Structure: relaxed

spin magnetization: 7.00 μB/f.u.
DOS at the Fermi energy: 18.148 states/eV/cell
volume: 410.1 Å³ per cell
space group: No. 12
formation energy (no corrections): -1440 meV per atom
E_tot: -6.67 eV per atom

Cell lengths 8.5109, 8.5109, 7.0464 Å; angles 107.12, 107.12, 58.61 degrees
Atoms (fractional coordinates):
Pm (0.0000, 0.0000, 0.0000)
Pm (0.2613, 0.7387, 0.5000)
Pm (0.7387, 0.2613, 0.5000)
Np (0.2595, 0.2595, 0.8371)
Np (0.7405, 0.7405, 0.1629)
Se (0.1051, 0.6373, 0.0822)
Se (0.1205, 0.1205, 0.4295)
Se (0.3627, 0.8949, 0.9178)
Se (0.3903, 0.3903, 0.6266)
Se (0.6097, 0.6097, 0.3734)
Se (0.6373, 0.1051, 0.0822)
Se (0.8795, 0.8795, 0.5705)
Se (0.8949, 0.3627, 0.9178)